DFT (PBE) results for an optimized crystal structure of YAgB2Pd.

The calculation puts the volume at 19.4 Å³ per atom. Its formation energy is 5.5 eV/f.u. Its magnetization is 0.0 μB per formula unit. The electronic total energy comes out at -4.472 eV per atom.

Cell lengths 4.110, 4.110, 5.736 Å; angles 90.00, 90.00, 90.00 degrees
Space group P4/mmm (No. 123)
Unique sites:
Y  0.000  0.000  0.000 (multiplicity 1)
Ag  0.000  0.000  0.500 (multiplicity 1)
B  0.000  0.500  0.500 (multiplicity 2)
Pd  0.500  0.500  0.000 (multiplicity 1)